# CoNi2O4, optimized geometry, DFT GGA+U
# Polymorph energy (0 for the lowest one) (eV per atom): 0.005
# E (eV/atom): -5.167
data_CoNi2O4
_chemical_formula_sum 'Co4 Ni8 O16'
_cell_length_a 4.966
_cell_length_b 5.845
_cell_length_c 10.680
_cell_angle_alpha 90.00
_cell_angle_beta 116.66
_cell_angle_gamma 90.00
_space_group_name_H-M_alt 'P 1 21/c 1'
_space_group_IT_number 14
loop_
_space_group_symop_operation_xyz
'x,y,z'
'-x,-y,-z'
'-x,y+1/2,-z+1/2'
'x,-y+1/2,z+1/2'
loop_
_atom_site_label
_atom_site_type_symbol
_atom_site_fract_x
_atom_site_fract_y
_atom_site_fract_z
Co1 Co 0.222 0.128 0.484
Ni1 Ni 0.216 0.626 0.468
Ni2 Ni 0.477 0.627 0.742
O1 O 0.030 0.647 0.617
O2 O 0.060 0.106 0.613
O3 O 0.482 0.112 0.394
O4 O 0.491 0.137 0.111